A relaxed structure of Li2AcIn4Ga, computed with PBE-GGA.

Formation energy ... -0.252 eV/atom
Calculated volume ... 200.48 Å³ per cell
Uncorrected energy ... -2.99 eV per atom

abc: 10.0260 10.0260 10.0260
angles: 28.32 28.32 28.32
With the nearest neighbours (Å) after each atom.
Atoms (fractional coordinates):
Li 0.2349 0.2349 0.2349  7 In 2.94-3.14
Li 0.7651 0.7651 0.7651  7 In 2.94-3.14
Ac 0.0000 0.0000 0.0000  8 In 3.45-3.64
In 0.1261 0.1261 0.1261  4 Li 2.94-3.14, 3 Ga 3.07, 3 In 3.29
In 0.4013 0.4013 0.4013  1 Ga 2.85, 3 Li 2.97
In 0.5987 0.5987 0.5987  1 Ga 2.85, 3 Li 2.97
In 0.8739 0.8739 0.8739  4 Li 2.94-3.14, 3 Ga 3.07, 3 In 3.29
Ga 0.5000 0.5000 0.5000  8 In 2.85-3.07


A relaxed structure of SmB2Rh3, computed with PBE-GGA.

Formation energy ... -0.487 eV/atom
Energy relative to the lowest polymorph listed for this composition ... 0.196 eV/atom
Calculated volume ... 170.75 Å³ per cell
Uncorrected energy ... -7.17 eV per atom

abc: 5.6193 5.6193 5.4084
angles: 90.00 90.00 88.94
With the nearest neighbours (Å) after each atom.
Atoms (fractional coordinates):
Sm 0.1518 0.8482 0.7500  9 Rh 2.80-3.13, 4 B 2.93
Sm 0.8482 0.1518 0.2500  9 Rh 2.80-3.13, 4 B 2.93
B 0.2872 0.2872 0.0000  4 Rh 2.06-2.20
B 0.2872 0.2872 0.5000  4 Rh 2.06-2.20
B 0.7128 0.7128 0.0000  4 Rh 2.06-2.20
B 0.7128 0.7128 0.5000  4 Rh 2.06-2.20
Rh 0.0215 0.3702 0.7500  2 B 2.06
Rh 0.3702 0.0215 0.2500  2 B 2.06
Rh 0.4620 0.5380 0.2500  4 B 2.20
Rh 0.5380 0.4620 0.7500  4 B 2.20
Rh 0.6298 0.9785 0.7500  2 B 2.06
Rh 0.9785 0.6298 0.2500  2 B 2.06


A relaxed structure of MgRe2Se, computed with PBE-GGA.

Energy relative to the lowest polymorph listed for this composition ... 0.346 eV/atom
Uncorrected formation energy ... 0.440 eV/atom
Calculated volume ... 128.81 Å³ per cell
Uncorrected energy ... -7.05 eV per atom

abc: 9.5568 3.0414 4.5245
angles: 90.00 101.63 90.00
With the nearest neighbours (Å) after each atom.
Atoms (fractional coordinates):
Mg 0.0000 0.0000 0.0000  4 Se 2.73, 6 Re 2.74-2.95, 2 Mg 3.04
Mg 0.5000 0.5000 0.0000  4 Se 2.73, 6 Re 2.74-2.95, 2 Mg 3.04
Re 0.2382 0.0000 0.7493  4 Re 2.70-2.77, 3 Mg 2.74-2.95, 3 Se 2.78-2.94
Re 0.2618 0.5000 0.2507  4 Re 2.70-2.77, 3 Mg 2.74-2.95, 3 Se 2.78-2.94
Re 0.7382 0.5000 0.7493  4 Re 2.70-2.77, 3 Mg 2.74-2.95, 3 Se 2.78-2.94
Re 0.7618 0.0000 0.2507  4 Re 2.70-2.77, 3 Mg 2.74-2.95, 3 Se 2.78-2.94
Se 0.0000 0.5000 0.5000  4 Mg 2.73, 6 Re 2.78-2.94, 2 Se 3.04
Se 0.5000 0.0000 0.5000  4 Mg 2.73, 6 Re 2.78-2.94, 2 Se 3.04


A relaxed structure of Pm3Pr5H12, computed with PBE-GGA.

Calculated volume ... 1283.06 Å³ per cell
Uncorrected energy ... -4.34 eV per atom

abc: 11.8565 11.8565 11.8565
angles: 109.47 109.47 109.47
With the nearest neighbours (Å) after each atom.
Atoms (fractional coordinates):
Pm 0.1250 0.2500 0.3750  8 H 2.37-2.48
Pm 0.1250 0.3750 0.7500  8 H 2.37-2.48
Pm 0.2500 0.3750 0.1250  8 H 2.37-2.48
Pm 0.2500 0.8750 0.6250  8 H 2.37-2.48
Pm 0.3750 0.1250 0.2500  8 H 2.37-2.48
Pm 0.3750 0.7500 0.1250  8 H 2.37-2.48
Pm 0.6250 0.2500 0.8750  8 H 2.37-2.48
Pm 0.6250 0.8750 0.7500  8 H 2.37-2.48
Pm 0.7500 0.1250 0.3750  8 H 2.37-2.48
Pm 0.7500 0.6250 0.8750  8 H 2.37-2.48
Pm 0.8750 0.6250 0.2500  8 H 2.37-2.48
Pm 0.8750 0.7500 0.6250  8 H 2.37-2.48
Pr 0.0000 0.0000 0.0000  6 H 2.36
Pr 0.0000 0.0000 0.5000  6 H 2.36
Pr 0.0000 0.5000 0.0000  6 H 2.36
Pr 0.0000 0.5000 0.5000  6 H 2.36
Pr 0.1250 0.7500 0.8750  4 H 2.34
Pr 0.1250 0.8750 0.2500  4 H 2.34
Pr 0.2500 0.1250 0.8750  4 H 2.34
Pr 0.2500 0.6250 0.3750  4 H 2.34
Pr 0.3750 0.2500 0.6250  4 H 2.34
Pr 0.3750 0.6250 0.7500  4 H 2.34
Pr 0.5000 0.0000 0.0000  6 H 2.36
Pr 0.5000 0.0000 0.5000  6 H 2.36
Pr 0.5000 0.5000 0.0000  6 H 2.36
Pr 0.5000 0.5000 0.5000  6 H 2.36
Pr 0.6250 0.3750 0.2500  4 H 2.34
Pr 0.6250 0.7500 0.3750  4 H 2.34
Pr 0.7500 0.3750 0.6250  4 H 2.34
Pr 0.7500 0.8750 0.1250  4 H 2.34
Pr 0.8750 0.1250 0.7500  4 H 2.34
Pr 0.8750 0.2500 0.1250  4 H 2.34
H 0.0703 0.2285 0.1551  2 Pr 2.34-2.36, 1 H 2.34, 2 Pm 2.37-2.48
H 0.0703 0.3419 0.9153  2 Pr 2.34-2.36, 1 H 2.34, 2 Pm 2.37-2.48
H 0.0734 0.7285 0.6581  2 Pr 2.34-2.36, 1 H 2.34, 2 Pm 2.37-2.48
H 0.0734 0.8449 0.4153  2 Pr 2.34-2.36, 1 H 2.34, 2 Pm 2.37-2.48
H 0.0847 0.6551 0.4266  2 Pr 2.34-2.36, 1 H 2.34, 2 Pm 2.37-2.48
H 0.0847 0.9297 0.6581  2 Pr 2.34-2.36, 1 H 2.34, 2 Pm 2.37-2.48
H 0.1551 0.0703 0.2285  2 Pr 2.34-2.36, 1 H 2.34, 2 Pm 2.37-2.48
H 0.1551 0.5847 0.9266  2 Pr 2.34-2.36, 1 H 2.34, 2 Pm 2.37-2.48
H 0.1581 0.2285 0.5734  2 Pr 2.34-2.36, 1 H 2.34, 2 Pm 2.37-2.48
H 0.1581 0.4297 0.5847  2 Pr 2.34-2.36, 1 H 2.34, 2 Pm 2.37-2.48
H 0.2285 0.1551 0.0703  2 Pr 2.34-2.36, 1 H 2.34, 2 Pm 2.37-2.48
H 0.2285 0.5734 0.1581  2 Pr 2.34-2.36, 1 H 2.34, 2 Pm 2.37-2.48
H 0.2715 0.3419 0.9266  2 Pr 2.34-2.36, 1 H 2.34, 2 Pm 2.37-2.48
H 0.2715 0.4297 0.3449  2 Pr 2.34-2.36, 1 H 2.34, 2 Pm 2.37-2.48
H 0.3419 0.9153 0.0703  2 Pr 2.34-2.36, 1 H 2.34, 2 Pm 2.37-2.48
H 0.3419 0.9266 0.2715  2 Pr 2.34-2.36, 1 H 2.34, 2 Pm 2.37-2.48
H 0.3449 0.2715 0.4297  2 Pr 2.34-2.36, 1 H 2.34, 2 Pm 2.37-2.48
H 0.3449 0.5734 0.9153  2 Pr 2.34-2.36, 1 H 2.34, 2 Pm 2.37-2.48
H 0.4153 0.0734 0.8449  2 Pr 2.34-2.36, 1 H 2.34, 2 Pm 2.37-2.48
H 0.4153 0.8419 0.5703  2 Pr 2.34-2.36, 1 H 2.34, 2 Pm 2.37-2.48
H 0.4266 0.0847 0.6551  2 Pr 2.34-2.36, 1 H 2.34, 2 Pm 2.37-2.48
H 0.4266 0.8419 0.7715  2 Pr 2.34-2.36, 1 H 2.34, 2 Pm 2.37-2.48
H 0.4297 0.3449 0.2715  2 Pr 2.34-2.36, 1 H 2.34, 2 Pm 2.37-2.48
H 0.4297 0.5847 0.1581  2 Pr 2.34-2.36, 1 H 2.34, 2 Pm 2.37-2.48
H 0.5703 0.4153 0.8419  2 Pr 2.34-2.36, 1 H 2.34, 2 Pm 2.37-2.48
H 0.5703 0.6551 0.7285  2 Pr 2.34-2.36, 1 H 2.34, 2 Pm 2.37-2.48
H 0.5734 0.1581 0.2285  2 Pr 2.34-2.36, 1 H 2.34, 2 Pm 2.37-2.48
H 0.5734 0.9153 0.3449  2 Pr 2.34-2.36, 1 H 2.34, 2 Pm 2.37-2.48
H 0.5847 0.1581 0.4297  2 Pr 2.34-2.36, 1 H 2.34, 2 Pm 2.37-2.48
H 0.5847 0.9266 0.1551  2 Pr 2.34-2.36, 1 H 2.34, 2 Pm 2.37-2.48
H 0.6551 0.4266 0.0847  2 Pr 2.34-2.36, 1 H 2.34, 2 Pm 2.37-2.48
H 0.6551 0.7285 0.5703  2 Pr 2.34-2.36, 1 H 2.34, 2 Pm 2.37-2.48
H 0.6581 0.0734 0.7285  2 Pr 2.34-2.36, 1 H 2.34, 2 Pm 2.37-2.48
H 0.6581 0.0847 0.9297  2 Pr 2.34-2.36, 1 H 2.34, 2 Pm 2.37-2.48
H 0.7285 0.5703 0.6551  2 Pr 2.34-2.36, 1 H 2.34, 2 Pm 2.37-2.48
H 0.7285 0.6581 0.0734  2 Pr 2.34-2.36, 1 H 2.34, 2 Pm 2.37-2.48
H 0.7715 0.4266 0.8419  2 Pr 2.34-2.36, 1 H 2.34, 2 Pm 2.37-2.48
H 0.7715 0.8449 0.9297  2 Pr 2.34-2.36, 1 H 2.34, 2 Pm 2.37-2.48
H 0.8419 0.5703 0.4153  2 Pr 2.34-2.36, 1 H 2.34, 2 Pm 2.37-2.48
H 0.8419 0.7715 0.4266  2 Pr 2.34-2.36, 1 H 2.34, 2 Pm 2.37-2.48
H 0.8449 0.4153 0.0734  2 Pr 2.34-2.36, 1 H 2.34, 2 Pm 2.37-2.48
H 0.8449 0.9297 0.7715  2 Pr 2.34-2.36, 1 H 2.34, 2 Pm 2.37-2.48
H 0.9153 0.0703 0.3419  2 Pr 2.34-2.36, 1 H 2.34, 2 Pm 2.37-2.48
H 0.9153 0.3449 0.5734  2 Pr 2.34-2.36, 1 H 2.34, 2 Pm 2.37-2.48
H 0.9266 0.1551 0.5847  2 Pr 2.34-2.36, 1 H 2.34, 2 Pm 2.37-2.48
H 0.9266 0.2715 0.3419  2 Pr 2.34-2.36, 1 H 2.34, 2 Pm 2.37-2.48
H 0.9297 0.6581 0.0847  2 Pr 2.34-2.36, 1 H 2.34, 2 Pm 2.37-2.48
H 0.9297 0.7715 0.8449  2 Pr 2.34-2.36, 1 H 2.34, 2 Pm 2.37-2.48


A relaxed structure of LaTlFe2, computed with PBE-GGA.

Formation energy ... 0.435 eV/atom
Energy relative to the lowest polymorph listed for this composition ... 0.260 eV/atom
Calculated volume ... 162.97 Å³ per cell
Uncorrected energy ... -5.62 eV per atom

abc: 6.6416 6.6520 3.6887
angles: 90.00 90.00 90.00
With the nearest neighbours (Å) after each atom.
Atoms (fractional coordinates):
La 0.0000 0.0000 0.0000  8 Fe 2.99, 4 Tl 3.32-3.33
La 0.5000 0.5000 0.0000  8 Fe 2.99, 4 Tl 3.32-3.33
Tl 0.0000 0.5000 0.0000  8 Fe 2.99, 4 La 3.32-3.33
Tl 0.5000 0.0000 0.0000  8 Fe 2.99, 4 La 3.32-3.33
Fe 0.2500 0.2500 0.5000  4 Tl 2.99, 4 La 2.99, 4 Fe 3.32-3.33
Fe 0.2500 0.7500 0.5000  4 Tl 2.99, 4 La 2.99, 4 Fe 3.32-3.33
Fe 0.7500 0.2500 0.5000  4 Tl 2.99, 4 La 2.99, 4 Fe 3.32-3.33
Fe 0.7500 0.7500 0.5000  4 La 2.99, 4 Tl 2.99, 4 Fe 3.32-3.33


A relaxed structure of ZrZnCr2S, computed with PBE-GGA.

Uncorrected formation energy ... 1.877 eV/atom
Calculated volume ... 108.11 Å³ per cell
Uncorrected energy ... -4.76 eV per atom

abc: 4.6167 4.6167 5.0723
angles: 90.00 90.00 90.00
With the nearest neighbours (Å) after each atom.
Atoms (fractional coordinates):
Zr 0.0000 0.0000 0.0000  4 Cr 2.31, 2 Zn 2.54
Zn 0.0000 0.0000 0.5000  2 Zr 2.54
Cr 0.0000 0.5000 0.0000  2 Zr 2.31
Cr 0.5000 0.0000 0.0000  2 Zr 2.31
S 0.5000 0.5000 0.5000  4 Zn 3.26, 8 Cr 3.43


A relaxed structure of Tl4GaPb, computed with PBE-GGA.

Formation energy ... 0.186 eV/atom
Calculated volume ... 189.56 Å³ per cell
Uncorrected energy ... -2.51 eV per atom

abc: 6.4479 6.4479 6.4479
angles: 60.00 60.00 60.00
With the nearest neighbours (Å) after each atom.
Atoms (fractional coordinates):
Tl 0.1250 0.1250 0.1250  6 Tl 3.22
Tl 0.1250 0.1250 0.6250  6 Tl 3.22
Tl 0.1250 0.6250 0.1250  6 Tl 3.22
Tl 0.6250 0.1250 0.1250  6 Tl 3.22
Ga 0.5000 0.5000 0.5000  12 Tl 3.78, 4 Pb 3.95
Pb 0.7500 0.7500 0.7500  12 Tl 3.78, 4 Ga 3.95


A relaxed structure of CsNa6Hg3, computed with PBE-GGA.

Formation energy ... -0.153 eV/atom
Calculated volume ... 706.24 Å³ per cell
Uncorrected energy ... -1.12 eV per atom

abc: 9.9182 5.2204 13.8727
angles: 90.00 100.51 90.00
With the nearest neighbours (Å) after each atom.
Atoms (fractional coordinates):
Cs 0.0636 0.2500 0.2353  6 Hg 3.76-4.12, 2 Na 4.18-4.20
Cs 0.9364 0.7500 0.7647  6 Hg 3.76-4.12, 2 Na 4.18-4.20
Na 0.1050 0.2500 0.5601  3 Hg 3.26-3.32, 3 Na 3.51-3.56
Na 0.2630 0.7500 0.0257  5 Hg 3.23-3.37, 3 Na 3.50-3.58
Na 0.3267 0.7500 0.6879  2 Hg 3.15-3.20
Na 0.3676 0.2500 0.8887  4 Hg 3.28-3.35, 4 Na 3.49-3.64
Na 0.4065 0.2500 0.4611  2 Hg 3.15, 3 Na 3.27-3.51
Na 0.4118 0.7500 0.2810  3 Hg 3.29-3.35, 6 Na 3.49-3.65
Na 0.5882 0.2500 0.7190  3 Hg 3.29-3.35, 6 Na 3.49-3.65
Na 0.5935 0.7500 0.5389  2 Hg 3.15, 3 Na 3.27-3.51
Na 0.6324 0.7500 0.1113  4 Hg 3.28-3.35, 4 Na 3.49-3.64
Na 0.6733 0.2500 0.3121  2 Hg 3.15-3.20
Na 0.7370 0.2500 0.9743  5 Hg 3.23-3.37, 3 Na 3.50-3.58
Na 0.8950 0.7500 0.4399  3 Hg 3.26-3.32, 3 Na 3.51-3.56
Hg 0.0743 0.2500 0.9659  2 Hg 3.22, 4 Na 3.23-3.37
Hg 0.2272 0.7500 0.4552  7 Na 3.15-3.32
Hg 0.4276 0.2500 0.1323  8 Na 3.15-3.35
Hg 0.5724 0.7500 0.8677  8 Na 3.15-3.35
Hg 0.7728 0.2500 0.5448  7 Na 3.15-3.32
Hg 0.9257 0.7500 0.0341  2 Hg 3.22, 4 Na 3.23-3.37


A relaxed structure of SrIn3Hg3, computed with PBE-GGA.

Formation energy ... -0.225 eV/atom
Energy relative to the lowest polymorph listed for this composition ... 0.000 eV/atom
Calculated volume ... 386.82 Å³ per cell
Uncorrected energy ... -1.77 eV per atom

abc: 7.9920 4.7861 10.5490
angles: 90.00 106.53 90.00
With the nearest neighbours (Å) after each atom.
Atoms (fractional coordinates):
Sr 0.2393 0.2500 0.1423  8 Hg 3.33-3.71, 4 In 3.62-3.72
Sr 0.7607 0.7500 0.8577  8 Hg 3.33-3.71, 4 In 3.62-3.72
In 0.0234 0.2500 0.7346  4 Hg 3.13-3.30, 3 In 3.18-3.22
In 0.1299 0.2500 0.4621  8 In 3.18-3.41, 2 Hg 3.51
In 0.3137 0.7500 0.6501  6 Hg 3.11-3.36, 3 In 3.19-3.40
In 0.6863 0.2500 0.3499  6 Hg 3.11-3.36, 3 In 3.19-3.40
In 0.8701 0.7500 0.5379  8 In 3.18-3.41, 2 Hg 3.51
In 0.9766 0.7500 0.2654  4 Hg 3.13-3.30, 3 In 3.18-3.22
Hg 0.1975 0.7500 0.9157  3 Hg 3.12-3.23, 3 In 3.13-3.19, 3 Sr 3.33-3.37
Hg 0.4056 0.7500 0.3829  4 In 3.11-3.36, 3 Hg 3.20-3.46, 2 Sr 3.47
Hg 0.4435 0.2500 0.8675  4 Hg 3.12-3.23, 3 In 3.25-3.27
Hg 0.5565 0.7500 0.1325  4 Hg 3.12-3.23, 3 In 3.25-3.27
Hg 0.5944 0.2500 0.6171  4 In 3.11-3.36, 3 Hg 3.20-3.46, 2 Sr 3.47
Hg 0.8025 0.2500 0.0843  3 Hg 3.12-3.23, 3 In 3.13-3.19, 3 Sr 3.33-3.37


A relaxed structure of Ti4CS5, computed with PBE-GGA.

Uncorrected formation energy ... -1.225 eV/atom
Calculated volume ... 163.55 Å³ per cell
Uncorrected energy ... -7.37 eV per atom

abc: 7.6076 7.6076 6.8138
angles: 101.72 101.72 25.09
With the nearest neighbours (Å) after each atom.
Atoms (fractional coordinates):
Ti 0.0010 0.0010 0.2763  2 C 2.25, 4 S 2.38-2.50
Ti 0.3527 0.3527 0.4277  1 C 2.14, 2 S 2.38
Ti 0.6473 0.6473 0.5723  1 C 2.14, 2 S 2.38
Ti 0.9990 0.9990 0.7237  2 C 2.25, 4 S 2.38-2.50
C 0.5000 0.5000 0.5000  6 Ti 2.14-2.25
S 0.1623 0.1623 0.8285  3 Ti 2.38
S 0.1689 0.1689 0.3263  4 Ti 2.42-2.67
S 0.5000 0.5000 0.0000  4 Ti 2.50
S 0.8311 0.8311 0.6737  4 Ti 2.42-2.67
S 0.8377 0.8377 0.1715  3 Ti 2.38